Here is crystalline TmV2F8 at its relaxed geometry from the Alexandria database. Energies are from PBE with a Hubbard U.

The value obtained for the final energy is -6.28 eV/atom. As for the density of states at the Fermi level: 3.566 states/eV/cell.

It has space group C2/m (No. 12), with a = 8.8361 Å, b = 6.6130 Å, c = 5.2657 Å, α = 90.00°, β = 103.82° and γ = 90.00°. The asymmetric unit holds Tm at (0.0000, 0.0000, 0.0000), V at (0.1850, 0.5000, 0.4643), F at (0.0570, 0.5000, 0.7345), F at (0.1509, 0.1963, 0.2881) and F at (0.1608, 0.0000, 0.7660).